[1]
Below is an optimized crystal structure of MgHg3, with properties calculated at the PBE level.

abc: 6.4258 6.4258 6.4258
angles: 148.83 134.72 55.99
Last column: nearest neighbours and their distance in Å.
Positions (direct):
Mg 0.6225 0.0000 0.6225  8 Hg 2.95-3.08
Hg 0.7653 0.7134 0.0519  2 Mg 2.99, 5 Hg 3.13-3.27
Hg 0.3384 0.2866 0.0519  2 Mg 2.99, 5 Hg 3.13-3.27
Hg 0.1071 0.5000 0.6071  4 Mg 2.95-3.08, 2 Hg 3.27

Calculated values
For the formation energy, the calculation gives -0.3 eV/f.u. The electronic total energy comes out at -2.80 eV per formula unit. The value obtained for the size of the total moment is 0.00 μB per cell. As for the space-group type: Imm2, No. 44.

[2]
Below is an optimized crystal structure of MgHg, with properties calculated at the PBE level.

abc: 3.4184 5.7900 4.6549
angles: 90.00 90.00 72.83
Last column: nearest neighbours and their distance in Å.
Positions (direct):
Mg 0.8474 0.3053 0.2500  7 Hg 2.85-3.18
Mg 0.1526 0.6947 0.7500  7 Hg 2.85-3.18
Hg 0.4098 0.1803 0.7500  7 Mg 2.85-3.18, 2 Hg 3.07
Hg 0.5902 0.8197 0.2500  7 Mg 2.85-3.18, 2 Hg 3.07

Calculated values
For the formation energy, the calculation gives -0.4 eV/f.u. The electronic total energy comes out at -2.27 eV per formula unit. The value obtained for the size of the total moment is 0.00 μB per cell. As for the space-group type: Cmcm, No. 63.

[3]
Below is an optimized crystal structure of MgHg, with properties calculated at the PBE level.

abc: 5.7222 5.7222 5.7222
angles: 48.60 48.60 48.60
Last column: nearest neighbours and their distance in Å.
Positions (direct):
Mg 0.8970 0.8970 0.8970  4 Hg 2.88, 1 Mg 3.11
Mg 0.1030 0.1030 0.1030  4 Hg 2.88, 1 Mg 3.11
Hg 0.7066 0.7066 0.7066  4 Mg 2.88, 3 Hg 2.97
Hg 0.2934 0.2934 0.2934  4 Mg 2.88, 3 Hg 2.97

Calculated values
For the formation energy, the calculation gives -0.2 eV/f.u. The electronic total energy comes out at -2.11 eV per formula unit. The value obtained for the size of the total moment is 0.00 μB per cell. As for the space-group type: R-3m, No. 166.

[4]
Below is an optimized crystal structure of MgHg, with properties calculated at the PBE level.

abc: 3.4506 3.4506 8.8227
angles: 90.00 90.00 120.00
Last column: nearest neighbours and their distance in Å.
Positions (direct):
Mg 0.0000 0.0000 0.0000  6 Hg 2.97
Mg 0.0000 0.0000 0.5000  6 Hg 2.97
Hg 0.3333 0.6667 0.2500  6 Mg 2.97
Hg 0.6667 0.3333 0.7500  6 Mg 2.97

Calculated values
For the formation energy, the calculation gives -0.3 eV/f.u. The electronic total energy comes out at -2.23 eV per formula unit. The value obtained for the size of the total moment is 0.00 μB per cell. As for the space-group type: P6_3/mmc, No. 194.

[5]
Below is an optimized crystal structure of MgHg, with properties calculated at the PBE level.

abc: 3.4149 3.4149 9.2529
angles: 90.00 90.00 120.00
Last column: nearest neighbours and their distance in Å.
Positions (direct):
Mg 0.0000 0.0000 0.4918  3 Hg 2.94, 3 Mg 3.16
Mg 0.3333 0.6667 0.7582  3 Hg 2.94, 3 Mg 3.16
Hg 0.0000 0.0000 0.9940  3 Mg 2.94, 3 Hg 3.12
Hg 0.3333 0.6667 0.2560  3 Mg 2.94, 3 Hg 3.12

Calculated values
For the formation energy, the calculation gives -0.1 eV/f.u. The electronic total energy comes out at -2.01 eV per formula unit. The value obtained for the size of the total moment is 0.00 μB per cell. As for the space-group type: P-3m1, No. 164.

[6]
Below is an optimized crystal structure of Mg7Hg2, with properties calculated at the PBE level.

abc: 4.9884 4.9884 9.1895
angles: 90.00 90.00 120.00
Last column: nearest neighbours and their distance in Å.
Positions (direct):
Mg 0.3333 0.6667 0.5339  1 Hg 2.91, 7 Mg 2.95-3.22
Mg 0.6667 0.3333 0.4661  1 Hg 2.91, 7 Mg 2.95-3.22
Mg 0.6667 0.3333 0.8166  4 Hg 2.90-3.05, 4 Mg 3.20-3.22
Mg 0.3333 0.6667 0.1834  4 Hg 2.90-3.05, 4 Mg 3.20-3.22
Mg 0.0000 0.0000 0.6645  8 Mg 3.02-3.20, 3 Hg 3.35
Mg 0.0000 0.0000 0.0000  8 Mg 3.08-3.34, 6 Hg 3.19
Mg 0.0000 0.0000 0.3355  8 Mg 3.02-3.20, 3 Hg 3.35
Hg 0.3333 0.6667 0.8510  8 Mg 2.90-3.19
Hg 0.6667 0.3333 0.1490  8 Mg 2.90-3.19

Calculated values
For the formation energy, the calculation gives -0.9 eV/f.u. The electronic total energy comes out at -12.68 eV per formula unit. The value obtained for the size of the total moment is 0.00 μB per cell. As for the space-group type: P-3m1, No. 164.

What did the first record say?
Below is an optimized crystal structure of MgHg3, with properties calculated at the PBE level.

abc: 6.4258 6.4258 6.4258
angles: 148.83 134.72 55.99
Last column: nearest neighbours and their distance in Å.
Positions (direct):
Mg 0.6225 0.0000 0.6225  8 Hg 2.95-3.08
Hg 0.7653 0.7134 0.0519  2 Mg 2.99, 5 Hg 3.13-3.27
Hg 0.3384 0.2866 0.0519  2 Mg 2.99, 5 Hg 3.13-3.27
Hg 0.1071 0.5000 0.6071  4 Mg 2.95-3.08, 2 Hg 3.27

Calculated values
For the formation energy, the calculation gives -0.3 eV/f.u. The electronic total energy comes out at -2.80 eV per formula unit. The value obtained for the size of the total moment is 0.00 μB per cell. As for the space-group type: Imm2, No. 44.

Among the records above, which one has the highest electronic total energy?
number 5